Pm2MnCuS5 after structural relaxation. Source: Alexandria via LeMat-Bulk, functional PBE.

The uncorrected formation energy comes out at -1.312 eV/atom. The value obtained for the raw total energy is -6.135 eV per atom. The symmetry is No. 36. As for the density of states at the Fermi level: 2.730 states/eV/f.u.

The structure in CIF format:
```
data_Pm2MnCuS5
_chemical_formula_sum 'Pm4 Mn2 Cu2 S10'
_symmetry_space_group_name_H-M 'P 1'
_symmetry_Int_Tables_number 1
_symmetry_space_group_name_Hall 'P 1'
_cell_length_a 8.4211
_cell_length_b 8.4211
_cell_length_c 11.2569
_cell_angle_alpha 90.00
_cell_angle_beta 90.00
_cell_angle_gamma 153.62
loop_
_atom_site_label
_atom_site_fract_x
_atom_site_fract_y
_atom_site_fract_z
Pm1 0.1132 0.8868 0.5000
Pm2 0.1277 0.8723 0.1123
Pm3 0.8723 0.1277 0.6123
Pm4 0.8868 0.1132 0.0000
Mn1 0.1989 0.8011 0.8217
Mn2 0.8011 0.1989 0.3217
Cu1 0.4313 0.5687 0.2590
Cu2 0.5687 0.4313 0.7590
S1 0.0589 0.9411 0.8650
S2 0.2852 0.7148 0.4677
S3 0.3037 0.6963 0.1607
S4 0.3496 0.6504 0.8094
S5 0.4990 0.5010 0.5851
S6 0.5010 0.4990 0.0851
S7 0.6504 0.3496 0.3094
S8 0.6963 0.3037 0.6607
S9 0.7148 0.2852 0.9677
S10 0.9411 0.0589 0.3650
```

=====

TaAlH2Pb after structural relaxation. Source: Alexandria via LeMat-Bulk, functional PBE.

The value obtained for the raw total energy is -4.432 eV per atom. The symmetry is No. 123. As for the density of states at the Fermi level: 2.630 states/eV/f.u.

The structure in CIF format:
```
data_TaAlH2Pb
_chemical_formula_sum 'Ta1 Al1 H2 Pb1'
_symmetry_space_group_name_H-M 'P 1'
_symmetry_Int_Tables_number 1
_symmetry_space_group_name_Hall 'P 1'
_cell_length_a 3.8716
_cell_length_b 3.8716
_cell_length_c 5.8036
_cell_angle_alpha 90.00
_cell_angle_beta 90.00
_cell_angle_gamma 90.00
loop_
_atom_site_label
_atom_site_fract_x
_atom_site_fract_y
_atom_site_fract_z
Ta1 0.0000 0.0000 0.0000
Al1 0.0000 0.0000 0.5000
H1 0.0000 0.5000 0.5000
H2 0.5000 0.0000 0.5000
Pb1 0.5000 0.5000 0.0000
```

=====

Q: Number 1 is which compound?
A: Pm2MnCuS5

=====

Copy entry 2 word for word.
TaAlH2Pb after structural relaxation. Source: Alexandria via LeMat-Bulk, functional PBE.

The value obtained for the raw total energy is -4.432 eV per atom. The symmetry is No. 123. As for the density of states at the Fermi level: 2.630 states/eV/f.u.

The structure in CIF format:
```
data_TaAlH2Pb
_chemical_formula_sum 'Ta1 Al1 H2 Pb1'
_symmetry_space_group_name_H-M 'P 1'
_symmetry_Int_Tables_number 1
_symmetry_space_group_name_Hall 'P 1'
_cell_length_a 3.8716
_cell_length_b 3.8716
_cell_length_c 5.8036
_cell_angle_alpha 90.00
_cell_angle_beta 90.00
_cell_angle_gamma 90.00
loop_
_atom_site_label
_atom_site_fract_x
_atom_site_fract_y
_atom_site_fract_z
Ta1 0.0000 0.0000 0.0000
Al1 0.0000 0.0000 0.5000
H1 0.0000 0.5000 0.5000
H2 0.5000 0.0000 0.5000
Pb1 0.5000 0.5000 0.0000
```

=====

Q: The lowest raw total energy belongs to which entry?
A: Pm2MnCuS5

=====

Q: Which of these has the highest raw total energy?
A: TaAlH2Pb